Cs2MgTcO6 | PBE-GGA | relaxed

Cell: 6.565 6.565 5.293 Å, 90.00 90.00 120.00°
Element x y z (fractional)
Cs  0.333  0.667  0.229
Cs  0.667  0.333  0.771
Mg  0.000  0.000  0.500
Tc  0.000  0.000  0.000
O  0.133  0.265  0.781
O  0.133  0.867  0.781
O  0.265  0.133  0.219
O  0.735  0.867  0.781
O  0.867  0.133  0.219
O  0.867  0.735  0.219

Results
Its density of states at the Fermi level is 3.0 states/eV/f.u. The energy relative to the elements, uncorrected is -1.488 eV/atom. Its calculated total energy is -5.83 eV per atom.